The following is a DFT calculation (PBE-GGA) of Li2Pd8Pt3 after structural relaxation.

Results
formation enthalpy at 0 K: 0.163 eV/atom
calculated total energy: -4.721 eV/atom
N(E_F): 1.964 states/eV per atom

a b c (Å): 5.129 5.129 9.712
angles (deg): 74.69 74.69 60.00
Element x y z (fractional)
Li1 0.640 0.640 0.081
Li2 0.360 0.360 0.919
Pd1 0.721 0.721 0.837
Pd2 0.279 0.279 0.163
Pd3 0.232 0.733 0.301
Pd4 0.733 0.232 0.301
Pd5 0.733 0.733 0.301
Pd6 0.267 0.768 0.699
Pd7 0.768 0.267 0.699
Pd8 0.267 0.267 0.699
Pt1 0.000 0.000 0.000
Pt2 0.816 0.816 0.551
Pt3 0.184 0.184 0.449



The following is a DFT calculation (PBE-GGA) of SbOsW2 after structural relaxation.

Results
formation energy (no corrections): 0.5281 eV per atom
calculated total energy: -9.786 eV/atom
N(E_F): 0.697 states/eV per atom

a b c (Å): 4.388 2.905 5.375
angles (deg): 80.45 90.00 90.00
Element x y z (fractional)
Os1 0.000 0.642 0.480
Sb1 0.500 0.585 0.756
W1 0.000 0.020 0.999
W2 0.500 0.252 0.266



Number 1 is which compound?
Li2Pd8Pt3



Which of these has the highest N(E_F)?
Li2Pd8Pt3



What is the formula in the second record?
SbOsW2



Among the records above, which one has the lowest N(E_F)?
SbOsW2